# 1
Here is a relaxed structure of InPbCl2 from the Alexandria database. Energies are from PBE.

## Properties
**SG**: No. 216
**Electronic total energy**: -2.8796 eV/atom
**Formation energy without anion corrections**: -0.3446 eV/atom

Lattice parameters (Å, degrees): 5.321 5.321 5.321 60.00 60.00 60.00
Each line ends with the local moment (μB).
Fractional coordinates of all 4 atoms:
Pb 0.750 0.750 0.750  0.23
Cl 0.000 0.000 0.000  0.04
Cl 0.250 0.250 0.250  0.05
In 0.500 0.500 0.500  0.12



# 2
Here is a relaxed structure of Tb5Pr8Tm from the Alexandria database. Energies are from PBE.

## Properties
**E_form**: 251 meV/atom
**SG**: No. 82
**Electronic total energy**: -4.4533 eV/atom

Lattice parameters (Å, degrees): 8.637 8.637 8.637 110.84 106.76 110.84
Fractional coordinates of all 14 atoms:
Tb 0.032 0.311 0.130
Tb 0.870 0.902 0.181
Tb 0.819 0.689 0.721
Tb 0.500 0.000 0.500
Tb 0.279 0.098 0.968
Pr 0.166 0.732 0.073
Pr 0.927 0.094 0.659
Pr 0.736 0.260 0.339
Pr 0.661 0.396 0.921
Pr 0.525 0.604 0.264
Pr 0.566 0.906 0.834
Pr 0.341 0.268 0.434
Pr 0.079 0.740 0.475
Tm 0.250 0.500 0.750



| no. | V (A^3/atom) | total magnetic moment (μB per formula unit) |
| --- | --- | --- |
| 1 | 26.6 | 0.938 |
| 2 | 35.4 | 0.000 |